(1)
A plane-wave DFT calculation with PBE was carried out for a relaxed Ba2CeTaO6 crystal.

Lattice parameters (Å, degrees): 4.316 4.316 8.739 90.00 90.00 90.00
Site moments in Bohr magnetons follow the coordinates.
Fractional coordinates of all 10 atoms:
Ce: 0.500 0.500 0.000  0.41
Ta: 0.500 0.500 0.500  0.03
O: 0.500 0.000 0.000  -0.01
O: 0.500 0.500 0.275  0.00
O: 0.000 0.500 0.500  0.00
O: 0.000 0.500 0.000  -0.01
Ba: 0.000 0.000 0.262  0.00
O: 0.500 0.500 0.725  0.00
Ba: 0.000 0.000 0.738  0.00
O: 0.500 0.000 0.500  0.00

## Properties
Its magnetization is 0.05 μB per atom. The calculation puts the density of states at the Fermi level at 4.26 states/eV/cell. As for the uncorrected formation energy: -2.9641 eV/atom.

(2)
A plane-wave DFT calculation with PBE was carried out for a relaxed BaCeTa2O8 crystal.

Lattice parameters (Å, degrees): 6.062 6.062 7.579 90.00 90.00 120.00
Fractional coordinates of all 12 atoms:
O: 0.161 0.838 0.695
O: 0.333 0.667 0.007
Ta: 0.667 0.333 0.232
O: 0.677 0.839 0.695
O: 0.838 0.677 0.305
Ce: 0.000 0.000 0.500
O: 0.667 0.333 0.993
O: 0.323 0.161 0.305
O: 0.839 0.162 0.305
Ta: 0.333 0.667 0.768
Ba: 0.000 0.000 0.000
O: 0.162 0.323 0.695

## Properties
Its magnetization is 0.00 μB per atom. The calculation puts the density of states at the Fermi level at 0.00 states/eV/cell. As for the uncorrected formation energy: -2.9636 eV/atom.

(3)
A plane-wave DFT calculation with PBE was carried out for a relaxed Ba2TbCeO6 crystal.

Lattice parameters (Å, degrees): 6.287 6.287 6.287 60.00 60.00 60.00
Site moments in Bohr magnetons follow the coordinates.
Fractional coordinates of all 10 atoms:
O: 0.752 0.248 0.752  0.13
Ba: 0.250 0.250 0.250  -0.01
O: 0.248 0.752 0.248  0.13
Ba: 0.750 0.750 0.750  -0.01
Ce: 0.000 0.000 0.000  0.10
O: 0.752 0.248 0.248  0.13
O: 0.248 0.248 0.752  0.13
Tb: 0.500 0.500 0.500  0.05
O: 0.752 0.752 0.248  0.13
O: 0.248 0.752 0.752  0.13

## Properties
Its magnetization is 0.10 μB per atom. The calculation puts the density of states at the Fermi level at 7.59 states/eV/cell. Its distance to the lowest polymorph of the same formula is 34 meV per atom. As for the uncorrected formation energy: -2.9138 eV/atom.

(4)
A plane-wave DFT calculation with PBE was carried out for a relaxed Ba2TbCeO6 crystal.

Lattice parameters (Å, degrees): 6.270 6.264 8.845 90.00 89.98 90.00
Site moments in Bohr magnetons follow the coordinates.
Fractional coordinates of all 20 atoms:
O: 0.728 0.277 0.541  0.13
Ce: 0.000 0.500 0.500  0.06
O: 0.772 0.777 0.959  0.13
O: 0.723 0.272 0.958  0.13
Ce: 0.500 0.000 0.000  0.06
O: 0.223 0.228 0.458  0.13
O: 0.777 0.772 0.542  0.13
Ba: 0.992 0.022 0.750  0.00
O: 0.426 0.984 0.752  0.15
Ba: 0.008 0.978 0.250  0.00
Tb: 0.500 0.000 0.500  0.02
O: 0.228 0.223 0.041  0.13
O: 0.272 0.723 0.459  0.13
O: 0.574 0.016 0.248  0.15
Ba: 0.508 0.522 0.750  0.00
O: 0.277 0.728 0.042  0.13
Ba: 0.492 0.478 0.250  0.00
O: 0.926 0.516 0.252  0.15
O: 0.074 0.484 0.748  0.15
Tb: 0.000 0.500 0.000  0.02

## Properties
Its magnetization is 0.10 μB per atom. The calculation puts the density of states at the Fermi level at 16.65 states/eV/cell. Its distance to the lowest polymorph of the same formula is 0 meV per atom. As for the uncorrected formation energy: -2.9477 eV/atom.

(5)
A plane-wave DFT calculation with PBE was carried out for a relaxed BaCeTc2O8 crystal.

Lattice parameters (Å, degrees): 5.966 5.966 7.687 90.00 90.00 120.00
Site moments in Bohr magnetons follow the coordinates.
Fractional coordinates of all 12 atoms:
Ba: 0.000 0.000 0.000  0.01
O: 0.836 0.166 0.299  0.06
O: 0.834 0.670 0.299  0.06
Tc: 0.333 0.667 0.780  1.12
O: 0.667 0.333 0.990  0.13
O: 0.333 0.667 0.010  0.13
O: 0.330 0.164 0.299  0.06
Ce: 0.000 0.000 0.500  0.74
O: 0.164 0.834 0.701  0.06
O: 0.670 0.836 0.701  0.06
O: 0.166 0.330 0.701  0.06
Tc: 0.667 0.333 0.220  1.12

## Properties
Its magnetization is 0.34 μB per atom. The calculation puts the density of states at the Fermi level at 2.64 states/eV/cell. As for the uncorrected formation energy: -2.0709 eV/atom.

(6)
A plane-wave DFT calculation with PBE was carried out for a relaxed Ba2CeTc3O12 crystal.

Lattice parameters (Å, degrees): 7.178 7.178 7.178 61.76 61.76 61.76
Site moments in Bohr magnetons follow the coordinates.
Fractional coordinates of all 18 atoms:
O: 0.709 0.084 0.709  0.02
O: 0.887 0.386 0.887  0.03
O: 0.386 0.887 0.887  0.03
O: 0.887 0.887 0.386  0.03
Ba: 0.629 0.629 0.629  0.00
Tc: 0.000 0.500 0.000  0.40
O: 0.709 0.709 0.084  0.02
O: 0.113 0.113 0.614  0.03
O: 0.291 0.291 0.916  0.02
O: 0.113 0.614 0.113  0.03
O: 0.291 0.916 0.291  0.02
Ba: 0.371 0.371 0.371  0.00
Ce: 0.000 0.000 0.000  0.10
Tc: 0.000 0.000 0.500  0.40
O: 0.916 0.291 0.291  0.02
O: 0.614 0.113 0.113  0.03
O: 0.084 0.709 0.709  0.02
Tc: 0.500 0.000 0.000  0.40

## Properties
Its magnetization is 0.10 μB per atom. The calculation puts the density of states at the Fermi level at 11.73 states/eV/cell. As for the uncorrected formation energy: -2.0066 eV/atom.

(7)
A plane-wave DFT calculation with PBE was carried out for a relaxed BaCe2TeO8 crystal.

Lattice parameters (Å, degrees): 5.156 5.161 7.290 89.89 89.90 87.87
Fractional coordinates of all 12 atoms:
Ce: 0.499 0.499 0.753
O: 0.727 0.732 0.001
O: 0.189 0.804 0.191
O: 0.653 0.672 0.500
O: 0.810 0.195 0.191
O: 0.347 0.328 0.500
Ce: 0.501 0.501 0.247
O: 0.190 0.805 0.809
Te: 0.000 0.000 0.000
Ba: 0.000 0.000 0.500
O: 0.273 0.268 0.999
O: 0.811 0.196 0.809

## Properties
Its magnetization is 0.00 μB per atom. As for the uncorrected formation energy: -2.4367 eV/atom.

(8)
A plane-wave DFT calculation with PBE was carried out for a relaxed Ba3CeTi2O8 crystal.

Lattice parameters (Å, degrees): 6.098 6.098 7.843 90.00 90.00 120.00
Site moments in Bohr magnetons follow the coordinates.
Fractional coordinates of all 14 atoms:
O: 0.171 0.343 0.306  -0.01
O: 0.829 0.171 0.694  -0.01
Ce: 0.000 0.000 0.500  1.00
O: 0.829 0.657 0.694  -0.01
Ba: 0.000 0.000 0.000  0.01
O: 0.343 0.171 0.694  -0.01
O: 0.171 0.829 0.306  -0.01
O: 0.667 0.333 0.021  -0.01
Ba: 0.333 0.667 0.666  0.05
O: 0.657 0.829 0.306  -0.01
Ti: 0.333 0.667 0.208  0.23
Ba: 0.667 0.333 0.334  0.05
Ti: 0.667 0.333 0.792  0.23
O: 0.333 0.667 0.979  -0.01

## Properties
Its magnetization is 0.13 μB per atom. The calculation puts the density of states at the Fermi level at 10.19 states/eV/cell. As for the uncorrected formation energy: -2.9179 eV/atom.

(9)
A plane-wave DFT calculation with PBE was carried out for a relaxed Ba3CeTl2O9 crystal.

Lattice parameters (Å, degrees): 6.205 6.205 7.603 90.00 90.00 120.00
Fractional coordinates of all 15 atoms:
O: 0.330 0.165 0.668
O: 0.165 0.835 0.332
O: 0.165 0.330 0.332
O: 0.670 0.835 0.332
Ba: 0.333 0.667 0.686
O: 0.835 0.165 0.668
O: 0.835 0.670 0.668
Ba: 0.667 0.333 0.314
Tl: 0.667 0.333 0.831
Ba: 0.000 0.000 0.000
O: 0.500 0.500 0.000
Tl: 0.333 0.667 0.169
Ce: 0.000 0.000 0.500
O: 0.500 0.000 0.000
O: 0.000 0.500 0.000

## Properties
Its magnetization is 0.00 μB per atom. The calculation puts the density of states at the Fermi level at 7.21 states/eV/cell. As for the uncorrected formation energy: -1.9153 eV/atom.

(10)
A plane-wave DFT calculation with PBE was carried out for a relaxed Ba3CeTl2O8 crystal.

Lattice parameters (Å, degrees): 6.267 6.267 7.988 90.00 90.00 120.00
Fractional coordinates of all 14 atoms:
Ba: 0.667 0.333 0.374
Tl: 0.333 0.667 0.184
O: 0.837 0.674 0.668
Tl: 0.667 0.333 0.816
O: 0.674 0.837 0.332
O: 0.163 0.326 0.332
Ce: 0.000 0.000 0.500
Ba: 0.000 0.000 0.000
O: 0.667 0.333 0.071
Ba: 0.333 0.667 0.626
O: 0.837 0.163 0.668
O: 0.326 0.163 0.668
O: 0.163 0.837 0.332
O: 0.333 0.667 0.929

## Properties
Its magnetization is 0.00 μB per atom. The calculation puts the density of states at the Fermi level at 0.00 states/eV/cell. As for the uncorrected formation energy: -2.0360 eV/atom.

(11)
A plane-wave DFT calculation with PBE was carried out for a relaxed Ba2CeTmO5 crystal.

Lattice parameters (Å, degrees): 3.666 7.670 11.876 90.00 90.00 103.83
Site moments in Bohr magnetons follow the coordinates.
Fractional coordinates of all 18 atoms:
Ba: 0.892 0.784 0.194  0.01
O: 0.926 0.853 0.554  -0.01
Ba: 0.142 0.284 0.280  0.02
O: 0.074 0.147 0.054  -0.01
Tm: 0.225 0.450 0.012  0.00
Tm: 0.775 0.550 0.512  0.00
O: 0.505 0.009 0.282  -0.01
Ce: 0.526 0.052 0.963  0.73
Ce: 0.474 0.948 0.463  0.73
O: 0.373 0.746 0.005  -0.01
O: 0.726 0.452 0.137  0.00
Ba: 0.108 0.216 0.694  0.01
O: 0.627 0.254 0.505  -0.01
O: 0.310 0.619 0.397  0.00
O: 0.690 0.381 0.897  0.00
Ba: 0.858 0.716 0.780  0.02
O: 0.495 0.991 0.782  -0.01
O: 0.274 0.548 0.637  0.00

## Properties
Its magnetization is 0.10 μB per atom. The calculation puts the density of states at the Fermi level at 8.84 states/eV/cell. As for the uncorrected formation energy: -2.9768 eV/atom.

> What is the magnetization in the fourth record?

0.10 μB per atom

> Which formula does entry 6 have?

Ba2CeTc3O12

> Which value of magnetization does entry 8 give?

0.13 μB per atom